{
  "formula": "AcTbAlAu",
  "functional": "PBE",
  "state": "optimized geometry",
  "cell": [[0.0000, 3.8125, 3.8125], [3.8125, 0.0000, 3.8125], [3.8125, 3.8125, 0.0000]],
  "species": ["Ac", "Tb", "Al", "Au"],
  "fractional_positions": [[0.0000, 0.0000, 0.0000], [0.5000, 0.5000, 0.5000], [0.2500, 0.2500, 0.2500], [0.7500, 0.7500, 0.7500]],
  "e_form_ev_per_fu": -1.78,
  "m_tot_mub_per_atom": 0.00
}